Record 1
Computed, not measured: a relaxed structure of Ba2LaSbAs at the PBE level of DFT.

Values from the calculation:
Size of the total moment, μB/f.u.: 0.00
E_tot, eV/atom: -3.7791
Space-group type: P4/mmm
Calculated volume, A^3/atom: 49.574
E_form (uncorrected), eV/atom: -0.2701

The structure in POSCAR format:
```
Ba2LaSbAs
1.0
6.4119 0.0000 0.0000
0.0000 6.0291 0.0000
0.0000 0.0000 6.4119
Ba Sb La As
2 1 1 1
direct
0.5000 0.0000 0.0000 Ba
0.0000 0.0000 0.5000 Ba
0.0000 0.0000 0.0000 Sb
0.0000 0.5000 0.0000 La
0.5000 0.5000 0.5000 As
```


Record 2
Computed, not measured: a relaxed structure of BaLaAs2Se at the PBE level of DFT.

Values from the calculation:
Size of the total moment, μB/f.u.: 0.00
E_tot, eV/atom: -3.9071
Space-group type: P4/mmm
Calculated volume, A^3/atom: 35.613
E_form (uncorrected), eV/atom: 0.0196

The structure in POSCAR format:
```
BaLaAs2Se
1.0
5.5331 0.0000 0.0000
0.0000 5.5331 0.0000
0.0000 0.0000 5.8161
La As Ba Se
1 2 1 1
direct
0.5000 0.5000 0.5000 La
0.5000 0.0000 0.0000 As
0.0000 0.5000 0.0000 As
0.0000 0.0000 0.0000 Ba
0.0000 0.0000 0.5000 Se
```


Record 3
Computed, not measured: a relaxed structure of BaLaAsSe2 at the PBE level of DFT.

Values from the calculation:
Size of the total moment, μB/f.u.: 1.44
E_tot, eV/atom: -3.2117
Space-group type: P4/mmm
Calculated volume, A^3/atom: 46.927
E_form (uncorrected), eV/atom: 0.4821

The structure in POSCAR format:
```
BaLaAsSe2
1.0
5.6691 0.0000 0.0000
0.0000 7.3009 0.0000
0.0000 0.0000 5.6691
Se Ba La As
2 1 1 1
direct
0.5000 0.0000 0.0000 Se
0.0000 0.0000 0.5000 Se
0.0000 0.0000 0.0000 Ba
0.0000 0.5000 0.0000 La
0.5000 0.5000 0.5000 As
```


> size of the total moment of number 2 (BaLaAs2Se)?

0.00 μB/f.u.